This record from the Alexandria database describes a geometry-optimized NaCaTc2I structure. The functional is PBE-GGA.

## Properties
- Uncorrected energy: -3.896 eV per atom
- Formation energy (no corrections): 28.238 kcal/mol of atoms

```
data_NaCaTc2I
_cell_length_a 4.968
_cell_length_b 4.968
_cell_length_c 5.699
_cell_angle_alpha 90.00
_cell_angle_beta 90.00
_cell_angle_gamma 90.00
_symmetry_space_group_name_H-M 'P 4/m m m'
_symmetry_Int_Tables_number 123
_symmetry_space_group_name_Hall '-P 4 2'
loop_
_atom_site_label
_atom_site_fract_x
_atom_site_fract_y
_atom_site_fract_z
Na1 0.000 0.000 0.000
Ca1 0.500 0.500 0.000
Tc1 0.000 0.500 0.500
I1 0.500 0.500 0.500
```

=====

This record from the Alexandria database describes a geometry-optimized Sm4GaTe2Se structure. The functional is PBE-GGA.

## Properties
- Uncorrected energy: -5.300 eV per atom
- Formation energy (no corrections): -30.935 kcal/mol of atoms

```
data_Sm4GaTe2Se
_cell_length_a 7.475
_cell_length_b 4.297
_cell_length_c 7.633
_cell_angle_alpha 90.00
_cell_angle_beta 108.89
_cell_angle_gamma 90.00
_symmetry_space_group_name_H-M 'P 1 2/m 1'
_symmetry_Int_Tables_number 10
_symmetry_space_group_name_Hall '-P 2y'
loop_
_atom_site_label
_atom_site_fract_x
_atom_site_fract_y
_atom_site_fract_z
Sm1 0.238 0.000 0.228
Sm2 0.252 0.500 0.775
Ga1 0.000 0.500 0.000
Te1 0.000 0.000 0.500
Te2 0.500 0.500 0.500
Se1 0.500 0.000 0.000
```

=====

This record from the Alexandria database describes a geometry-optimized K2InPbAu6 structure. The functional is PBE-GGA.

## Properties
- Uncorrected energy: -2.927 eV per atom

```
data_K2InPbAu6
_cell_length_a 10.651
_cell_length_b 10.928
_cell_length_c 7.508
_cell_angle_alpha 90.00
_cell_angle_beta 134.55
_cell_angle_gamma 90.00
_symmetry_space_group_name_H-M 'C 1 2/m 1'
_symmetry_Int_Tables_number 12
_symmetry_space_group_name_Hall '-C 2y'
loop_
_atom_site_label
_atom_site_fract_x
_atom_site_fract_y
_atom_site_fract_z
K1 0.000 0.215 0.000
In1 0.000 0.500 0.500
Pb1 0.000 0.000 0.500
Au1 0.000 0.254 0.500
Au2 0.182 0.500 0.369
Au3 0.182 0.500 0.994
```

=====

This record from the Alexandria database describes a geometry-optimized CuAs2P structure. The functional is PBE-GGA.

## Properties
- Uncorrected energy: -4.537 eV per atom

```
data_CuAs2P
_cell_length_a 6.195
_cell_length_b 3.559
_cell_length_c 6.448
_cell_angle_alpha 90.00
_cell_angle_beta 108.63
_cell_angle_gamma 90.00
_symmetry_space_group_name_H-M 'C 1 2/m 1'
_symmetry_Int_Tables_number 12
_symmetry_space_group_name_Hall '-C 2y'
loop_
_atom_site_label
_atom_site_fract_x
_atom_site_fract_y
_atom_site_fract_z
Cu1 0.000 0.000 0.000
As1 0.250 0.000 0.752
P1 0.000 0.500 0.500
```

=====

This record from the Alexandria database describes a geometry-optimized Ho2ThZn9 structure. The functional is PBE-GGA.

## Properties
- Uncorrected energy: -2.633 eV per atom

```
data_Ho2ThZn9
_cell_length_a 5.4486
_cell_length_b 5.4486
_cell_length_c 25.9122
_cell_angle_alpha 90.00
_cell_angle_beta 90.00
_cell_angle_gamma 120.00
_symmetry_space_group_name_H-M 'R -3 m'
_symmetry_Int_Tables_number 166
_symmetry_space_group_name_Hall '-R 3 2"'
loop_
_atom_site_label
_atom_site_fract_x
_atom_site_fract_y
_atom_site_fract_z
Ho1 0.0000 0.0000 0.1414
Th1 0.0000 0.0000 0.0000
Zn1 0.0000 0.0000 0.3352
Zn2 0.0000 0.0000 0.5000
Zn3 0.0065 0.5033 0.9166
```

=====

This record from the Alexandria database describes a geometry-optimized Dy3AgPt structure. The functional is PBE-GGA.

## Properties
- Distance to the lowest polymorph of the same formula: 0.004 eV/atom
- Uncorrected energy: -5.140 eV per atom

```
data_Dy3AgPt
_cell_length_a 5.574
_cell_length_b 6.449
_cell_length_c 8.252
_cell_angle_alpha 99.89
_cell_angle_beta 102.20
_cell_angle_gamma 112.54
_symmetry_space_group_name_H-M 'P -1'
_symmetry_Int_Tables_number 2
_symmetry_space_group_name_Hall '-P 1'
loop_
_atom_site_label
_atom_site_fract_x
_atom_site_fract_y
_atom_site_fract_z
Dy1 0.060 0.198 0.310
Dy2 0.300 0.452 0.744
Dy3 0.304 0.820 0.121
Ag1 0.348 0.757 0.487
Pt1 0.239 0.198 0.992
```

=====

This record from the Alexandria database describes a geometry-optimized Ce4Ge12Ru structure. The functional is PBE-GGA.

## Properties
- Uncorrected energy: -5.709 eV per atom

```
data_Ce4Ge12Ru
_cell_length_a 8.737
_cell_length_b 8.737
_cell_length_c 8.737
_cell_angle_alpha 90.00
_cell_angle_beta 90.00
_cell_angle_gamma 90.00
_symmetry_space_group_name_H-M 'I m -3 m'
_symmetry_Int_Tables_number 229
_symmetry_space_group_name_Hall '-I 4 2 3'
loop_
_atom_site_label
_atom_site_fract_x
_atom_site_fract_y
_atom_site_fract_z
Ce1 0.250 0.250 0.250
Ge1 0.000 0.000 0.291
Ge2 0.000 0.250 0.500
Ru1 0.000 0.000 0.000
```

=====

This record from the Alexandria database describes a geometry-optimized ZnSe2S structure. The functional is PBE-GGA.

## Properties
- Distance to the lowest polymorph of the same formula: 0.000 eV/atom
- Uncorrected energy: -3.013 eV per atom
- Formation energy (no corrections): 1.830 kcal/mol of atoms

```
data_ZnSe2S
_cell_length_a 3.8669
_cell_length_b 3.8669
_cell_length_c 22.2282
_cell_angle_alpha 90.00
_cell_angle_beta 90.00
_cell_angle_gamma 120.00
_symmetry_space_group_name_H-M 'R -3 m'
_symmetry_Int_Tables_number 166
_symmetry_space_group_name_Hall '-R 3 2"'
loop_
_atom_site_label
_atom_site_fract_x
_atom_site_fract_y
_atom_site_fract_z
Zn1 0.0000 0.0000 0.0000
Se1 0.0000 0.0000 0.3950
S1 0.0000 0.0000 0.5000
```

=====

This record from the Alexandria database describes a geometry-optimized CaTmCd2 structure. The functional is PBE-GGA.

## Properties
- Distance to the lowest polymorph of the same formula: 0.013 eV/atom
- Uncorrected energy: -2.403 eV per atom

```
data_CaTmCd2
_cell_length_a 7.507
_cell_length_b 7.507
_cell_length_c 7.507
_cell_angle_alpha 90.00
_cell_angle_beta 90.00
_cell_angle_gamma 90.00
_symmetry_space_group_name_H-M 'F m -3 m'
_symmetry_Int_Tables_number 225
_symmetry_space_group_name_Hall '-F 4 2 3'
loop_
_atom_site_label
_atom_site_fract_x
_atom_site_fract_y
_atom_site_fract_z
Ca1 0.000 0.000 0.000
Tm1 0.000 0.000 0.500
Cd1 0.250 0.250 0.250
```

=====

This record from the Alexandria database describes a geometry-optimized K3LiNp2O9 structure. The functional is PBE-GGA.

## Properties
- Uncorrected energy: -7.383 eV per atom
- Formation energy (no corrections): -53.860 kcal/mol of atoms

```
data_K3LiNp2O9
_cell_length_a 5.9956
_cell_length_b 5.9956
_cell_length_c 7.3793
_cell_angle_alpha 90.00
_cell_angle_beta 90.00
_cell_angle_gamma 120.00
_symmetry_space_group_name_H-M 'P -3 m 1'
_symmetry_Int_Tables_number 164
_symmetry_space_group_name_Hall '-P 3 2"'
loop_
_atom_site_label
_atom_site_fract_x
_atom_site_fract_y
_atom_site_fract_z
K1 0.0000 0.0000 0.0000
K2 0.3333 0.6667 0.6494
Li1 0.0000 0.0000 0.5000
Np1 0.3333 0.6667 0.1689
O1 0.0000 0.5000 0.0000
O2 0.1783 0.3566 0.3175
```

=====

This record from the Alexandria database describes a geometry-optimized RbHfMg14 structure. The functional is PBE-GGA.

## Properties
- Distance to the lowest polymorph of the same formula: 0.026 eV/atom
- Uncorrected energy: -1.909 eV per atom

```
data_RbHfMg14
_cell_length_a 6.6107
_cell_length_b 6.6107
_cell_length_c 10.4831
_cell_angle_alpha 90.00
_cell_angle_beta 90.00
_cell_angle_gamma 120.00
_symmetry_space_group_name_H-M 'P -6 m 2'
_symmetry_Int_Tables_number 187
_symmetry_space_group_name_Hall 'P -6 2'
loop_
_atom_site_label
_atom_site_fract_x
_atom_site_fract_y
_atom_site_fract_z
Rb1 0.0000 0.0000 0.0000
Hf1 0.0000 0.0000 0.5000
Mg1 0.0112 0.5056 0.0000
Mg2 0.1693 0.3385 0.2681
Mg3 0.5016 0.0033 0.5000
Mg4 0.6667 0.3333 0.2458
```

=====

This record from the Alexandria database describes a geometry-optimized GePtO2F structure. The functional is PBE-GGA.

## Properties
- Uncorrected energy: -4.772 eV per atom
- Formation energy (no corrections): -6.514 kcal/mol of atoms

```
data_GePtO2F
_cell_length_a 4.025
_cell_length_b 4.025
_cell_length_c 4.265
_cell_angle_alpha 90.00
_cell_angle_beta 90.00
_cell_angle_gamma 90.00
_symmetry_space_group_name_H-M 'P 4/m m m'
_symmetry_Int_Tables_number 123
_symmetry_space_group_name_Hall '-P 4 2'
loop_
_atom_site_label
_atom_site_fract_x
_atom_site_fract_y
_atom_site_fract_z
Ge1 0.000 0.000 0.000
Pt1 0.500 0.500 0.500
O1 0.000 0.500 0.500
F1 0.500 0.500 0.000
```

=====

This record from the Alexandria database describes a geometry-optimized SiMoBr2 structure. The functional is PBE-GGA.

## Properties
- Distance to the lowest polymorph of the same formula: 0.348 eV/atom
- Uncorrected energy: -4.567 eV per atom
- Formation energy (no corrections): 7.668 kcal/mol of atoms

```
data_SiMoBr2
_cell_length_a 9.452
_cell_length_b 9.452
_cell_length_c 4.819
_cell_angle_alpha 90.00
_cell_angle_beta 90.00
_cell_angle_gamma 90.00
_symmetry_space_group_name_H-M 'I -4 2 d'
_symmetry_Int_Tables_number 122
_symmetry_space_group_name_Hall 'I -4 2bw'
loop_
_atom_site_label
_atom_site_fract_x
_atom_site_fract_y
_atom_site_fract_z
Si1 0.000 0.000 0.000
Mo1 0.000 0.000 0.500
Br1 0.106 0.250 0.625
```

=====

This record from the Alexandria database describes a geometry-optimized CdPtPb2 structure. The functional is PBE-GGA.

## Properties
- Uncorrected energy: -3.427 eV per atom

```
data_CdPtPb2
_cell_length_a 4.633
_cell_length_b 4.633
_cell_length_c 19.360
_cell_angle_alpha 90.00
_cell_angle_beta 90.00
_cell_angle_gamma 90.00
_symmetry_space_group_name_H-M 'I -4 2 d'
_symmetry_Int_Tables_number 122
_symmetry_space_group_name_Hall 'I -4 2bw'
loop_
_atom_site_label
_atom_site_fract_x
_atom_site_fract_y
_atom_site_fract_z
Cd1 0.000 0.000 0.000
Pt1 0.000 0.000 0.500
Pb1 0.233 0.250 0.625
```

=====

This record from the Alexandria database describes a geometry-optimized V2SbP2 structure. The functional is PBE-GGA.

## Properties
- Distance to the lowest polymorph of the same formula: 0.000 eV/atom
- Uncorrected energy: -6.951 eV per atom
- Formation energy (no corrections): -7.261 kcal/mol of atoms

```
data_V2SbP2
_cell_length_a 3.464
_cell_length_b 3.464
_cell_length_c 12.715
_cell_angle_alpha 90.00
_cell_angle_beta 90.00
_cell_angle_gamma 90.00
_symmetry_space_group_name_H-M 'I 4/m m m'
_symmetry_Int_Tables_number 139
_symmetry_space_group_name_Hall '-I 4 2'
loop_
_atom_site_label
_atom_site_fract_x
_atom_site_fract_y
_atom_site_fract_z
V1 0.000 0.000 0.117
Sb1 0.000 0.000 0.500
P1 0.000 0.500 0.250
```